[1]
TmTiTl (PBE-GGA, optimized geometry); energy of formation = 631 meV per atom; electronic total energy = -4.280 eV per atom; symmetry = I4mm (107); DOS(E_F) = 1.22 states/eV/atom
1.0
-1.5366 1.5366 8.4012
1.5366 -1.5366 8.4012
1.5366 1.5366 -8.4012
Tm Ti Tl
1 1 1
Direct
0.0000 0.0000 0.0000
0.1786 0.1786 0.0000
0.8142 0.8142 0.0000


[2]
PaAlZnGe (PBE-GGA, optimized geometry); energy of formation = -279 meV per atom; electronic total energy = -5.062 eV per atom; symmetry = Pmmm (47); DOS(E_F) = 1.05 states/eV/atom
1.0
4.1562 0.0000 0.0000
0.0000 4.2060 0.0000
0.0000 0.0000 4.5048
Pa Al Zn Ge
1 1 1 1
Direct
0.0000 0.0000 0.0000
0.0000 0.5000 0.5000
0.5000 0.0000 0.5000
0.5000 0.5000 0.0000


[3]
U2GeO10 (PBE-GGA, optimized geometry); electronic total energy = -7.735 eV per atom; symmetry = Fddd (70); DOS(E_F) = 0.75 states/eV/atom; formation energy without anion corrections = -1.829 eV/atom
1.0
0.0000 5.4459 9.6062
4.7143 0.0000 9.6062
4.7143 5.4459 0.0000
U Ge O
4 2 20
Direct
0.0478 0.0478 0.7022
0.2978 0.2978 0.9522
0.7022 0.7022 0.0478
0.9522 0.9522 0.2978
0.1250 0.1250 0.1250
0.8750 0.8750 0.8750
0.0065 0.3687 0.0697
0.0551 0.0697 0.3687
0.0697 0.0551 0.0065
0.1469 0.1469 0.6031
0.2166 0.7059 0.2498
0.2498 0.3276 0.2166
0.2941 0.7834 0.6724
0.3276 0.2498 0.7059
0.3687 0.0065 0.0551
0.3969 0.3969 0.8531
0.6031 0.6031 0.1469
0.6313 0.9935 0.9449
0.6724 0.7502 0.2941
0.7059 0.2166 0.3276
0.7502 0.6724 0.7834
0.7834 0.2941 0.7502
0.8531 0.8531 0.3969
0.9303 0.9449 0.9935
0.9449 0.9303 0.6313
0.9935 0.6313 0.9303


[4]
CrH3Br (PBE-GGA, optimized geometry); electronic total energy = -2.939 eV per atom; symmetry = Pm-3m (221); DOS(E_F) = 0.48 states/eV/atom
1.0
3.9822 0.0000 0.0000
0.0000 3.9822 0.0000
0.0000 0.0000 3.9822
Cr H Br
1 3 1
Direct
0.0000 0.0000 0.0000
0.0000 0.5000 0.5000
0.5000 0.0000 0.5000
0.5000 0.5000 0.0000
0.5000 0.5000 0.5000


[5]
Cr4InIr (PBE-GGA, optimized geometry); energy of formation = 177 meV per atom; electronic total energy = -8.171 eV per atom; symmetry = F-43m (216); DOS(E_F) = 1.02 states/eV/atom
1.0
0.0000 3.4305 3.4305
3.4305 0.0000 3.4305
3.4305 3.4305 0.0000
Cr In Ir
4 1 1
Direct
0.3770 0.3770 0.3770
0.3770 0.3770 0.8689
0.3770 0.8689 0.3770
0.8689 0.3770 0.3770
0.7500 0.7500 0.7500
0.0000 0.0000 0.0000


[6]
NdAlPt (PBE-GGA, optimized geometry); energy of formation = -963 meV per atom; electronic total energy = -5.814 eV per atom; symmetry = P-6m2 (187); DOS(E_F) = 0.63 states/eV/atom
1.0
4.4142 0.0000 0.0000
-2.2071 3.8228 0.0000
0.0000 0.0000 3.9849
Nd Al Pt
1 1 1
Direct
0.0000 0.0000 0.0000
0.6667 0.3333 0.5000
0.3333 0.6667 0.5000


[7]
K2ZrCoSe (PBE-GGA, optimized geometry); electronic total energy = -3.619 eV per atom; symmetry = P4/mmm (123); DOS(E_F) = 4.81 states/eV/atom; formation energy without anion corrections = 0.648 eV/atom
1.0
6.0908 0.0000 0.0000
0.0000 6.0908 0.0000
0.0000 0.0000 5.1798
K Zr Co Se
2 1 1 1
Direct
0.0000 0.5000 0.0000
0.5000 0.0000 0.0000
0.0000 0.0000 0.5000
0.5000 0.5000 0.5000
0.0000 0.0000 0.0000


[8]
PmIn6Pd12 (PBE-GGA, optimized geometry); energy of formation = -326 meV per atom; electronic total energy = -4.720 eV per atom; symmetry = R-3 (148); DOS(E_F) = 0.39 states/eV/atom
1.0
5.6319 3.2516 3.3022
-5.6319 3.2516 3.3022
0.0000 -6.5032 3.3022
Pm In Pd
1 6 12
Direct
0.0000 0.0000 0.0000
0.1487 0.2216 0.4568
0.2216 0.4568 0.1487
0.4568 0.1487 0.2216
0.5432 0.8513 0.7784
0.7784 0.5432 0.8513
0.8513 0.7784 0.5432
0.0085 0.7097 0.2279
0.1815 0.6096 0.5873
0.2279 0.0085 0.7097
0.2903 0.7721 0.9915
0.3904 0.4127 0.8185
0.4127 0.8185 0.3904
0.5873 0.1815 0.6096
0.6096 0.5873 0.1815
0.7097 0.2279 0.0085
0.7721 0.9915 0.2903
0.8185 0.3904 0.4127
0.9915 0.2903 0.7721


[9]
PmDy5YSc2 (PBE-GGA, optimized geometry); energy of formation = 172 meV per atom; electronic total energy = -5.038 eV per atom; symmetry = Cmc2_1 (36); DOS(E_F) = 1.52 states/eV/atom
1.0
2.7970 -10.7834 0.0000
2.7970 10.7834 0.0000
0.0000 0.0000 9.3151
Pm Dy Y Sc
2 10 2 4
Direct
0.1851 0.8149 0.5000
0.8149 0.1851 0.0000
0.0081 0.9919 0.4993
0.2649 0.7351 0.8160
0.3077 0.6923 0.2016
0.3920 0.6080 0.5279
0.4681 0.5319 0.2305
0.5319 0.4681 0.7305
0.6080 0.3920 0.0279
0.6923 0.3077 0.7016
0.7351 0.2649 0.3160
0.9919 0.0081 0.9993
0.4029 0.5971 0.9002
0.5971 0.4029 0.4002
0.1132 0.8868 0.8062
0.1400 0.8600 0.1779
0.8600 0.1400 0.6779
0.8868 0.1132 0.3062


[10]
LiInPb (PBE-GGA, optimized geometry); energy of formation = -128 meV per atom; electronic total energy = -2.915 eV per atom; symmetry = C2/m (12); DOS(E_F) = 0.32 states/eV/atom
1.0
4.9315 -2.1639 0.0000
4.9315 2.1639 0.0000
-1.5160 0.0000 7.1655
Li In Pb
2 2 2
Direct
0.0980 0.0980 0.2065
0.9020 0.9020 0.7935
0.3680 0.3680 0.0684
0.6320 0.6320 0.9316
0.1664 0.1664 0.6307
0.8336 0.8336 0.3693


[11]
Li3B4C4 (PBE-GGA, optimized geometry); energy of formation = -228 meV per atom; electronic total energy = -6.532 eV per atom; symmetry = P-1 (2); DOS(E_F) = 0.25 states/eV/atom
1.0
4.7229 0.0000 0.0000
0.0003 5.4502 0.0000
2.3465 1.3735 7.1916
Li B C
6 8 8
Direct
0.0000 0.0000 0.0000
0.0000 0.5000 0.0000
0.2504 0.1454 0.4997
0.4990 0.2498 0.0011
0.5010 0.7502 0.9989
0.7496 0.8546 0.5003
0.0411 0.1891 0.2480
0.0436 0.6860 0.2474
0.4563 0.5602 0.7528
0.4588 0.0632 0.7521
0.5412 0.9368 0.2479
0.5437 0.4398 0.2472
0.9564 0.3140 0.7526
0.9589 0.8109 0.7520
0.2082 0.9385 0.2470
0.2145 0.4389 0.2408
0.2853 0.3098 0.7591
0.2920 0.8123 0.7532
0.7080 0.1877 0.2468
0.7147 0.6902 0.2409
0.7855 0.5611 0.7592
0.7918 0.0615 0.7530


[12]
NaSmSI (PBE-GGA, optimized geometry); electronic total energy = -4.293 eV per atom; symmetry = R3m (160); DOS(E_F) = 0.61 states/eV/atom; formation energy without anion corrections = -1.364 eV/atom
1.0
2.0424 1.1792 7.8157
-2.0424 1.1792 7.8157
0.0000 -2.3584 7.8157
Na Sm S I
1 1 1 1
Direct
0.0000 0.0000 0.0000
0.2025 0.2025 0.2025
0.6018 0.6018 0.6018
0.7756 0.7756 0.7756


[13]
AgRhSeBr2 (PBE-GGA, optimized geometry); electronic total energy = -3.251 eV per atom; symmetry = P4/mmm (123); DOS(E_F) = 0.78 states/eV/atom; formation energy without anion corrections = 0.155 eV/atom
1.0
5.2674 0.0000 0.0000
0.0000 5.2674 0.0000
0.0000 0.0000 4.6853
Ag Rh Se Br
1 1 1 2
Direct
0.0000 0.0000 0.0000
0.5000 0.5000 0.5000
0.5000 0.5000 0.0000
0.0000 0.5000 0.5000
0.5000 0.0000 0.5000


[14]
KU2Pt2S6 (PBE-GGA, optimized geometry); electronic total energy = -6.434 eV per atom; symmetry = P-1 (2); DOS(E_F) = 0.82 states/eV/atom; formation energy without anion corrections = -0.932 eV/atom
1.0
6.9206 0.0000 0.0000
3.3607 6.0656 0.0000
0.3488 3.6412 6.3409
K U Pt S
1 2 2 6
Direct
0.0000 0.0000 0.0000
0.0057 0.3338 0.3275
0.9943 0.6662 0.6725
0.4387 0.8436 0.6784
0.5613 0.1564 0.3216
0.2271 0.2389 0.6704
0.2355 0.8462 0.4334
0.2471 0.4569 0.0459
0.7529 0.5431 0.9541
0.7645 0.1538 0.5666
0.7729 0.7611 0.3296


[15]
La9Nd2Mg (PBE-GGA, optimized geometry); energy of formation = -1 meV per atom; electronic total energy = -4.624 eV per atom; symmetry = P4/mmm (123); DOS(E_F) = 1.57 states/eV/atom
1.0
5.2046 0.0000 0.0000
0.0000 5.2046 0.0000
0.0000 0.0000 15.7261
La Nd Mg
9 2 1
Direct
0.0000 0.0000 0.0000
0.0000 0.0000 0.3308
0.0000 0.0000 0.6692
0.0000 0.5000 0.1632
0.0000 0.5000 0.5000
0.0000 0.5000 0.8368
0.5000 0.0000 0.1632
0.5000 0.0000 0.5000
0.5000 0.0000 0.8368
0.5000 0.5000 0.3292
0.5000 0.5000 0.6708
0.5000 0.5000 0.0000


[16]
CePmCuAu (PBE-GGA, optimized geometry); energy of formation = -368 meV per atom; electronic total energy = -4.882 eV per atom; symmetry = F-43m (216); DOS(E_F) = 2.13 states/eV/atom
1.0
0.0000 3.6373 3.6373
3.6373 0.0000 3.6373
3.6373 3.6373 0.0000
Ce Pm Cu Au
1 1 1 1
Direct
0.0000 0.0000 0.0000
0.5000 0.5000 0.5000
0.2500 0.2500 0.2500
0.7500 0.7500 0.7500


[17]
TlOs2Br (PBE-GGA, optimized geometry); electronic total energy = -5.365 eV per atom; symmetry = C2/m (12); DOS(E_F) = 0.66 states/eV/atom; formation energy without anion corrections = 1.260 eV/atom
1.0
4.4629 -1.5043 0.0000
4.4629 1.5043 0.0000
-1.5258 0.0000 5.5690
Tl Os Br
1 2 1
Direct
0.0000 0.0000 0.0000
0.2554 0.2554 0.6916
0.7446 0.7446 0.3084
0.5000 0.5000 0.5000


[18]
LiTb2SnO5 (PBE-GGA, optimized geometry); electronic total energy = -6.716 eV per atom; symmetry = P4/mbm (127); DOS(E_F) = 0.24 states/eV/atom; formation energy without anion corrections = -2.275 eV/atom
1.0
6.5763 0.0000 0.0000
0.0000 6.5763 0.0000
0.0000 0.0000 6.1292
Li Tb Sn O
2 4 2 10
Direct
0.0000 0.0000 0.0000
0.5000 0.5000 0.0000
0.1771 0.3229 0.5000
0.3229 0.8229 0.5000
0.6771 0.1771 0.5000
0.8229 0.6771 0.5000
0.0000 0.5000 0.0000
0.5000 0.0000 0.0000
0.0000 0.0000 0.5000
0.1436 0.6436 0.2608
0.1436 0.6436 0.7392
0.3564 0.1436 0.2608
0.3564 0.1436 0.7392
0.5000 0.5000 0.5000
0.6436 0.8564 0.2608
0.6436 0.8564 0.7392
0.8564 0.3564 0.2608
0.8564 0.3564 0.7392


[19]
MnAsBr2 (PBE-GGA, optimized geometry); electronic total energy = -3.508 eV per atom; symmetry = I-42d (122); DOS(E_F) = 1.90 states/eV/atom; formation energy without anion corrections = 0.784 eV/atom
1.0
-3.3409 3.3409 4.4601
3.3409 -3.3409 4.4601
3.3409 3.3409 -4.4601
Mn As Br
2 2 4
Direct
0.0000 0.0000 0.0000
0.7500 0.2500 0.5000
0.2500 0.7500 0.5000
0.5000 0.5000 0.0000
0.0468 0.6250 0.9218
0.3750 0.2968 0.4218
0.7032 0.1250 0.0782
0.8750 0.9532 0.5782


[20]
Li5AlCd6 (PBE-GGA, optimized geometry); energy of formation = -205 meV per atom; electronic total energy = -1.772 eV per atom; symmetry = C2/m (12); DOS(E_F) = 0.33 states/eV/atom
1.0
4.1779 -6.8207 0.0000
4.1779 6.8207 0.0000
-2.4978 0.0000 3.8655
Li Al Cd
5 1 6
Direct
0.0000 0.0000 0.0000
0.1677 0.8323 0.5000
0.3387 0.6613 0.0000
0.6613 0.3387 0.0000
0.8323 0.1677 0.5000
0.5000 0.5000 0.5000
0.0752 0.4134 0.2445
0.2377 0.2377 0.7367
0.4134 0.0752 0.2445
0.5866 0.9248 0.7555
0.7623 0.7623 0.2633
0.9248 0.5866 0.7555